This record from OQMD describes a relaxed Dy4Ni3Pd crystal. The functional is PBE-GGA.

For the formation energy, the calculation gives -437.7 kJ/mol of formula units. Its crystal system is monoclinic.

It has space group Pm (No. 6), with a = 5.497 Å, b = 4.231 Å, c = 7.075 Å, α = 90.00°, β = 90.07° and γ = 90.00°. Symmetry generates all atoms from Dy at (0.000, 0.000, 0.000), Dy at (0.227, 0.000, 0.504), Dy at (0.492, 0.500, 0.134), Dy at (0.728, 0.500, 0.649), Ni at (0.006, 0.500, 0.277), Ni at (0.235, 0.500, 0.783), Ni at (0.487, 0.000, 0.856) and Pd at (0.725, 0.000, 0.362).



This record from OQMD describes a relaxed AcTmPO crystal. The functional is PBE-GGA.

The energy above the most stable polymorph in this dataset comes out at 0.000 eV/atom. Its crystal system is orthorhombic.

It has space group Pmc2_1 (No. 26), with a = 4.486 Å, b = 5.197 Å, c = 7.486 Å, α = 90.00°, β = 90.00° and γ = 90.00°. Symmetry generates all atoms from Ac at (0.000, 0.149, 0.000), Tm at (0.500, 0.353, 0.354), P at (0.500, 0.151, 0.704) and O at (0.000, 0.324, 0.342).



This record from OQMD describes a relaxed Tb2TmSe3 crystal. The functional is PBE-GGA.

Its energy is -5.7663 eV/atom. Its crystal system is trigonal.

It has space group P-3m1 (No. 164), with a = 4.0499 Å, b = 4.0499 Å, c = 9.9905 Å, α = 90.00°, β = 90.00° and γ = 120.00°. Symmetry generates all atoms from Tb at (0.3333, 0.6667, 0.1674), Tm at (0.0000, 0.0000, 0.5000), Se at (0.0000, 0.0000, 0.0000) and Se at (0.3333, 0.6667, 0.6605).



This record from OQMD describes a relaxed Li4PrPaO6 crystal. The functional is PBE-GGA.

Its energy is -6.7162 eV/atom. Its crystal system is monoclinic.

It has space group C2 (No. 5), with a = 5.713 Å, b = 10.054 Å, c = 5.309 Å, α = 90.00°, β = 109.69° and γ = 90.00°. Symmetry generates all atoms from Li at (0.000, 0.000, 0.000), Li at (0.000, 0.125, 0.500), Li at (0.000, 0.488, 0.500), Li at (0.000, 0.866, 0.500), Pr at (0.000, 0.668, 0.000), Pa at (0.000, 0.334, 0.000), O at (0.225, 0.174, 0.248), O at (0.242, 0.492, 0.256) and O at (0.248, 0.347, 0.766).



This record from OQMD describes a relaxed PrAsPO crystal. The functional is PBE-GGA.

The energy above the most stable polymorph in this dataset comes out at 0.594 eV/atom. Its crystal system is tetragonal.

It has space group P4/nmm (No. 129, origin choice 2), with a = 5.617 Å, b = 5.617 Å, c = 4.976 Å, α = 90.00°, β = 90.00° and γ = 90.00°. Symmetry generates all atoms from Pr at (0.250, 0.750, 0.000), As at (0.250, 0.250, 0.483), P at (0.250, 0.250, 0.032) and O at (0.250, 0.750, 0.500).



This record from OQMD describes a relaxed Y2Tl2ZnCd crystal. The functional is PBE-GGA.

Its energy is -3.6370 eV/atom. Its crystal system is trigonal.

It has space group P3m1 (No. 156), with a = 4.7798 Å, b = 4.7798 Å, c = 7.4331 Å, α = 90.00°, β = 90.00° and γ = 120.00°. Symmetry generates all atoms from Y at (0.0000, 0.0000, 0.0000), Y at (0.0000, 0.0000, 0.4898), Tl at (0.3333, 0.6667, 0.7911), Tl at (0.6667, 0.3333, 0.2736), Zn at (0.3333, 0.6667, 0.1958) and Cd at (0.6667, 0.3333, 0.6983).



This record from OQMD describes a relaxed Zn12In crystal. The functional is PBE-GGA.

Its energy is -1.3222 eV/atom. Its crystal system is tetragonal.

It has space group I4/mmm (No. 139), with a = 9.070 Å, b = 9.070 Å, c = 5.065 Å, α = 90.00°, β = 90.00° and γ = 90.00°. Symmetry generates all atoms from Zn at (0.000, 0.216, 0.000), Zn at (0.000, 0.355, 0.500), Zn at (0.250, 0.250, 0.250) and In at (0.000, 0.000, 0.500).



This record from OQMD describes a relaxed HfAgHg crystal. The functional is PBE-GGA.

For the formation energy, the calculation gives 26.5 kJ/mol of formula units. The energy above the most stable polymorph in this dataset comes out at 0.014 eV/atom. Its crystal system is tetragonal.

It has space group P4/nmm (No. 129, origin choice 2), with a = 3.457 Å, b = 3.457 Å, c = 10.103 Å, α = 90.00°, β = 90.00° and γ = 90.00°. Symmetry generates all atoms from Hf at (0.250, 0.250, 0.236), Ag at (0.250, 0.250, 0.928) and Hg at (0.250, 0.250, 0.591).



So what do the calculations give for V? Going down the list: 20.57; 21.81; 23.65; 11.96; 19.63; 24.51; 16.03; 20.13 Å³/atom.